A crystal of NiHg2Te relaxed with PBEsol. Source: Alexandria via LeMat-Bulk, functional SCAN.

a = 7.910 Å, b = 7.910 Å, c = 7.910 Å
α = 26.55°, β = 26.55°, γ = 26.55°
Positions (direct):
Ni: 0.000 0.000 0.000
Hg: 0.260 0.260 0.260
Hg: 0.500 0.500 0.500
Te: 0.723 0.723 0.723

Magnetization (μB/cell): 0.0
Volume (Å³ per cell): 87.2
Calculated total energy (Ry per atom): -3.48612

---

A crystal of TlCrBr relaxed with PBEsol. Source: Alexandria via LeMat-Bulk, functional SCAN.

a = 4.821 Å, b = 4.821 Å, c = 4.821 Å
α = 60.00°, β = 60.00°, γ = 60.00°
Positions (direct):
Tl: 0.000 0.000 0.000
Cr: 0.250 0.250 0.250
Br: 0.500 0.500 0.500

Energy above the lowest structure with this stoichiometry (meV/atom): 212
Magnetization (μB/cell): 5.1
Volume (Å³ per cell): 79.2

---

A crystal of La4CoO8 relaxed with PBEsol. Source: Alexandria via LeMat-Bulk, functional SCAN.

a = 6.818 Å, b = 6.818 Å, c = 5.263 Å
α = 90.00°, β = 90.00°, γ = 134.93°
Positions (direct):
La: 0.134 0.866 0.000
La: 0.366 0.634 0.500
La: 0.634 0.366 0.500
La: 0.866 0.134 0.000
Co: 0.000 0.000 0.500
O: 0.160 0.840 0.500
O: 0.250 0.250 0.260
O: 0.250 0.250 0.740
O: 0.313 0.687 0.000
O: 0.687 0.313 0.000
O: 0.750 0.750 0.260
O: 0.750 0.750 0.740
O: 0.840 0.160 0.500

Energy above the lowest structure with this stoichiometry (meV/atom): 0
Magnetization (μB/cell): 1.0
Volume (Å³ per cell): 173.2

---

A crystal of CuSOF2 relaxed with PBEsol. Source: Alexandria via LeMat-Bulk, functional SCAN.

a = 4.286 Å, b = 4.286 Å, c = 3.406 Å
α = 90.00°, β = 90.00°, γ = 90.00°
Positions (direct):
Cu: 0.000 0.000 0.000
S: 0.500 0.500 0.500
O: 0.500 0.500 0.000
F: 0.000 0.500 0.500
F: 0.500 0.000 0.500

Energy above the lowest structure with this stoichiometry (meV/atom): 53
Magnetization (μB/cell): 0.0
Volume (Å³ per cell): 62.6

---

A crystal of Gd2W4O15 relaxed with PBEsol. Source: Alexandria via LeMat-Bulk, functional SCAN.

a = 6.726 Å, b = 9.763 Å, c = 10.789 Å
α = 90.00°, β = 105.59°, γ = 90.00°
Positions (direct):
Gd: 0.210 0.023 0.276
Gd: 0.210 0.477 0.776
Gd: 0.790 0.523 0.224
Gd: 0.790 0.977 0.724
W: 0.083 0.747 0.011
W: 0.083 0.753 0.511
W: 0.389 0.097 0.846
W: 0.389 0.403 0.346
W: 0.611 0.597 0.654
W: 0.611 0.903 0.154
W: 0.917 0.247 0.489
W: 0.917 0.253 0.989
O: 0.020 0.130 0.395
O: 0.020 0.370 0.895
O: 0.122 0.163 0.097
O: 0.122 0.337 0.597
O: 0.123 0.058 0.822
O: 0.123 0.442 0.322
O: 0.216 0.654 0.917
O: 0.216 0.846 0.417
O: 0.260 0.634 0.615
O: 0.260 0.866 0.115
O: 0.387 0.221 0.350
O: 0.387 0.279 0.850
O: 0.443 0.029 0.706
O: 0.443 0.471 0.206
O: 0.500 0.000 0.000
O: 0.500 0.500 0.500
O: 0.557 0.529 0.794
O: 0.557 0.971 0.294
O: 0.613 0.721 0.150
O: 0.613 0.779 0.650
O: 0.740 0.134 0.885
O: 0.740 0.366 0.385
O: 0.784 0.154 0.583
O: 0.784 0.346 0.083
O: 0.877 0.558 0.678
O: 0.877 0.942 0.178
O: 0.878 0.663 0.403
O: 0.878 0.837 0.903
O: 0.980 0.630 0.105
O: 0.980 0.870 0.605

Magnetization (μB/cell): 27.7
Volume (Å³ per cell): 682.4
Calculated total energy (Ry per atom): -1.90960

---

A crystal of Dy2Cr2C3 relaxed with PBEsol. Source: Alexandria via LeMat-Bulk, functional SCAN.

a = 5.400 Å, b = 5.400 Å, c = 5.510 Å
α = 105.03°, β = 105.03°, γ = 36.11°
Positions (direct):
Dy: 0.105 0.105 0.317
Dy: 0.895 0.895 0.683
Cr: 0.343 0.343 0.110
Cr: 0.657 0.657 0.890
C: 0.214 0.214 0.771
C: 0.500 0.500 0.000
C: 0.786 0.786 0.229

Energy of formation from the pure elements (meV/atom): -390
Magnetization (μB/cell): 1.1
Volume (Å³ per cell): 91.1

---

A crystal of SrAlIn3 relaxed with PBEsol. Source: Alexandria via LeMat-Bulk, functional SCAN.

a = 5.986 Å, b = 5.986 Å, c = 5.986 Å
α = 90.00°, β = 90.00°, γ = 90.00°
Positions (direct):
Sr: 0.000 0.000 0.000
Al: 0.500 0.500 0.500
In: 0.000 0.000 0.500
In: 0.000 0.500 0.000
In: 0.500 0.000 0.000

Energy of formation from the pure elements (meV/atom): 1003
Energy above the lowest structure with this stoichiometry (meV/atom): 1059
Magnetization (μB/cell): 0.0
Volume (Å³ per cell): 214.5

---

A crystal of LaYP2S relaxed with PBEsol. Source: Alexandria via LeMat-Bulk, functional SCAN.

a = 5.118 Å, b = 5.118 Å, c = 5.276 Å
α = 90.00°, β = 90.00°, γ = 90.00°
Positions (direct):
La: 0.000 0.000 0.000
Y: 0.500 0.500 0.500
P: 0.000 0.500 0.000
P: 0.500 0.000 0.000
S: 0.000 0.000 0.500

Magnetization (μB/cell): 0.0
Volume (Å³ per cell): 138.2
Calculated total energy (Ry per atom): -1.50975

---

A crystal of LiTiSiO4 relaxed with PBEsol. Source: Alexandria via LeMat-Bulk, functional SCAN.

a = 9.309 Å, b = 5.917 Å, c = 4.949 Å
α = 90.00°, β = 90.00°, γ = 90.00°
Positions (direct):
Li: 0.175 0.250 0.011
Li: 0.325 0.750 0.511
Li: 0.675 0.250 0.489
Li: 0.825 0.750 0.989
Ti: 0.000 0.000 0.500
Ti: 0.000 0.500 0.500
Ti: 0.500 0.000 0.000
Ti: 0.500 0.500 0.000
Si: 0.177 0.750 0.023
Si: 0.323 0.250 0.523
Si: 0.677 0.750 0.477
Si: 0.823 0.250 0.977
O: 0.114 0.526 0.172
O: 0.114 0.974 0.172
O: 0.130 0.750 0.700
O: 0.149 0.250 0.603
O: 0.351 0.750 0.103
O: 0.370 0.250 0.200
O: 0.386 0.026 0.672
O: 0.386 0.474 0.672
O: 0.614 0.526 0.328
O: 0.614 0.974 0.328
O: 0.630 0.750 0.800
O: 0.649 0.250 0.897
O: 0.851 0.750 0.397
O: 0.870 0.250 0.300
O: 0.886 0.026 0.828
O: 0.886 0.474 0.828

Energy above the lowest structure with this stoichiometry (meV/atom): 37
Magnetization (μB/cell): 1.1
Volume (Å³ per cell): 272.6

---

A crystal of LiRe2Se relaxed with PBEsol. Source: Alexandria via LeMat-Bulk, functional SCAN.

a = 4.331 Å, b = 4.331 Å, c = 4.331 Å
α = 60.00°, β = 60.00°, γ = 60.00°
Positions (direct):
Li: 0.000 0.000 0.000
Re: 0.250 0.250 0.250
Re: 0.500 0.500 0.500
Se: 0.750 0.750 0.750

Magnetization (μB/cell): 0.0
Volume (Å³ per cell): 57.4
Calculated total energy (Ry per atom): -2.99585

---

A crystal of Ti3In relaxed with PBEsol. Source: Alexandria via LeMat-Bulk, functional SCAN.

a = 4.616 Å, b = 4.616 Å, c = 4.616 Å
α = 60.00°, β = 60.00°, γ = 60.00°
Positions (direct):
Ti: 0.000 0.000 0.000
Ti: 0.250 0.250 0.250
Ti: 0.750 0.750 0.750
In: 0.500 0.500 0.500

Energy of formation from the pure elements (meV/atom): -171
Magnetization (μB/cell): 2.3
Volume (Å³ per cell): 69.5

---

A crystal of MnBH3 relaxed with PBEsol. Source: Alexandria via LeMat-Bulk, functional SCAN.

a = 3.065 Å, b = 3.065 Å, c = 3.065 Å
α = 90.00°, β = 90.00°, γ = 90.00°
Positions (direct):
Mn: 0.000 0.000 0.000
B: 0.500 0.500 0.500
H: 0.000 0.000 0.500
H: 0.000 0.500 0.000
H: 0.500 0.000 0.000

Magnetization (μB/cell): 2.2
Volume (Å³ per cell): 28.8
Calculated total energy (Ry per atom): -0.45585

---

A crystal of RbCaBi2I relaxed with PBEsol. Source: Alexandria via LeMat-Bulk, functional SCAN.

a = 5.960 Å, b = 5.960 Å, c = 6.485 Å
α = 90.00°, β = 90.00°, γ = 90.00°
Positions (direct):
Rb: 0.000 0.000 0.000
Ca: 0.000 0.000 0.500
Bi: 0.000 0.500 0.000
Bi: 0.500 0.000 0.000
I: 0.500 0.500 0.500

Magnetization (μB/cell): 0.0
Volume (Å³ per cell): 230.3
Calculated total energy (Ry per atom): -3.23686

---

A crystal of InAsCl2 relaxed with PBEsol. Source: Alexandria via LeMat-Bulk, functional SCAN.

a = 3.636 Å, b = 3.636 Å, c = 8.237 Å
α = 90.00°, β = 90.00°, γ = 114.71°
Positions (direct):
In: 0.000 0.000 0.000
As: 0.500 0.500 0.763
Cl: 0.000 0.000 0.573
Cl: 0.500 0.500 0.214

Energy above the lowest structure with this stoichiometry (meV/atom): 21
Magnetization (μB/cell): 0.0
Volume (Å³ per cell): 98.9

---

A crystal of POsNO2 relaxed with PBEsol. Source: Alexandria via LeMat-Bulk, functional SCAN.

a = 3.843 Å, b = 3.843 Å, c = 3.858 Å
α = 90.00°, β = 90.00°, γ = 90.00°
Positions (direct):
P: 0.000 0.000 0.000
Os: 0.500 0.500 0.500
N: 0.500 0.500 0.000
O: 0.000 0.500 0.500
O: 0.500 0.000 0.500

Magnetization (μB/cell): 2.0
Volume (Å³ per cell): 57.0
Calculated total energy (Ry per atom): -1.49411

---

A crystal of ZnFe2Co relaxed with PBEsol. Source: Alexandria via LeMat-Bulk, functional SCAN.

a = 2.452 Å, b = 3.967 Å, c = 4.747 Å
α = 90.00°, β = 100.36°, γ = 90.00°
Positions (direct):
Zn: 0.000 0.000 0.000
Fe: 0.301 0.500 0.751
Fe: 0.532 0.000 0.495
Co: 0.768 0.500 0.263

Energy of formation from the pure elements (meV/atom): -64
Magnetization (μB/cell): 7.0
Volume (Å³ per cell): 45.4

---

A crystal of Sc2MnPb relaxed with PBEsol. Source: Alexandria via LeMat-Bulk, functional SCAN.

a = 4.422 Å, b = 4.422 Å, c = 4.092 Å
α = 90.00°, β = 90.00°, γ = 90.00°
Positions (direct):
Sc: 0.000 0.500 0.000
Sc: 0.500 0.000 0.000
Mn: 0.000 0.000 0.500
Pb: 0.500 0.500 0.500

Energy of formation from the pure elements (meV/atom): -389
Magnetization (μB/cell): 3.1
Volume (Å³ per cell): 80.0

---

A crystal of LiSc2Tl2 relaxed with PBEsol. Source: Alexandria via LeMat-Bulk, functional SCAN.

a = 7.211 Å, b = 7.211 Å, c = 4.315 Å
α = 90.00°, β = 90.00°, γ = 90.00°
Positions (direct):
Li: 0.000 0.000 0.000
Li: 0.500 0.500 0.000
Sc: 0.159 0.341 0.500
Sc: 0.341 0.841 0.500
Sc: 0.659 0.159 0.500
Sc: 0.841 0.659 0.500
Tl: 0.148 0.648 0.000
Tl: 0.352 0.148 0.000
Tl: 0.648 0.852 0.000
Tl: 0.852 0.352 0.000

Energy of formation from the pure elements (meV/atom): -404
Magnetization (μB/cell): 0.0
Volume (Å³ per cell): 224.4

---

A crystal of TcAg2Cl relaxed with PBEsol. Source: Alexandria via LeMat-Bulk, functional SCAN.

a = 6.794 Å, b = 6.794 Å, c = 6.794 Å
α = 156.61°, β = 145.42°, γ = 42.17°
Positions (direct):
Tc: 0.000 0.000 0.000
Ag: 0.195 0.695 0.500
Ag: 0.805 0.305 0.500
Cl: 0.500 0.500 0.000

Energy above the lowest structure with this stoichiometry (meV/atom): 0
Magnetization (μB/cell): 2.1
Volume (Å³ per cell): 70.5

---

A crystal of Li2TcCl relaxed with PBEsol. Source: Alexandria via LeMat-Bulk, functional SCAN.

a = 5.091 Å, b = 5.091 Å, c = 5.091 Å
α = 139.53°, β = 139.53°, γ = 58.57°
Positions (direct):
Li: 0.000 0.000 0.000
Li: 0.750 0.250 0.500
Tc: 0.500 0.500 0.000
Cl: 0.250 0.750 0.500

Energy above the lowest structure with this stoichiometry (meV/atom): 182
Magnetization (μB/cell): 2.4
Volume (Å³ per cell): 55.1

---

A crystal of Ca2CdSe relaxed with PBEsol. Source: Alexandria via LeMat-Bulk, functional SCAN.

a = 8.616 Å, b = 8.616 Å, c = 8.616 Å
α = 26.58°, β = 26.58°, γ = 26.58°
Positions (direct):
Ca: 0.237 0.237 0.237
Ca: 0.763 0.763 0.763
Cd: 0.000 0.000 0.000
Se: 0.500 0.500 0.500

Energy above the lowest structure with this stoichiometry (meV/atom): 0
Magnetization (μB/cell): 0.2
Volume (Å³ per cell): 112.9

---

A crystal of NaPtOF2 relaxed with PBEsol. Source: Alexandria via LeMat-Bulk, functional SCAN.

a = 3.865 Å, b = 3.865 Å, c = 4.203 Å
α = 90.00°, β = 90.00°, γ = 90.00°
Positions (direct):
Na: 0.000 0.000 0.000
Pt: 0.500 0.500 0.500
O: 0.000 0.000 0.500
F: 0.000 0.500 0.000
F: 0.500 0.000 0.000

Magnetization (μB/cell): 3.0
Volume (Å³ per cell): 62.8
Calculated total energy (Ry per atom): -1.30433

---

A crystal of Sr2ScRh relaxed with PBEsol. Source: Alexandria via LeMat-Bulk, functional SCAN.

a = 3.514 Å, b = 3.514 Å, c = 9.494 Å
α = 90.00°, β = 90.00°, γ = 90.00°
Positions (direct):
Sr: 0.000 0.000 0.000
Sr: 0.500 0.500 0.373
Sc: 0.500 0.500 0.709
Rh: 0.000 0.000 0.599

Energy of formation from the pure elements (meV/atom): -259
Energy above the lowest structure with this stoichiometry (meV/atom): 0
Magnetization (μB/cell): 0.0
Volume (Å³ per cell): 117.3

---

A crystal of Mo2WAu relaxed with PBEsol. Source: Alexandria via LeMat-Bulk, functional SCAN.

a = 4.871 Å, b = 4.871 Å, c = 5.087 Å
α = 96.23°, β = 96.23°, γ = 31.62°
Positions (direct):
Mo: 0.000 0.000 0.000
Mo: 0.245 0.245 0.748
W: 0.492 0.492 0.496
Au: 0.746 0.746 0.247

Energy of formation from the pure elements (meV/atom): 290
Energy above the lowest structure with this stoichiometry (meV/atom): 172
Magnetization (μB/cell): 0.0
Volume (Å³ per cell): 62.9

---

A crystal of NbInSb2Te relaxed with PBEsol. Source: Alexandria via LeMat-Bulk, functional SCAN.

a = 5.370 Å, b = 5.370 Å, c = 5.495 Å
α = 90.00°, β = 90.00°, γ = 90.00°
Positions (direct):
Nb: 0.000 0.000 0.000
In: 0.500 0.500 0.500
Sb: 0.000 0.500 0.500
Sb: 0.500 0.000 0.500
Te: 0.500 0.500 0.000

Magnetization (μB/cell): 2.9
Volume (Å³ per cell): 158.5
Calculated total energy (Ry per atom): -2.53261